Entry from the Alexandria database: CrSbPI2 after structural relaxation (PBE).

The structure in POSCAR format:
```
CrSbPI2
1.0
5.0637 0.0000 0.0000
0.0000 5.0637 0.0000
0.0000 0.0000 5.2627
I Sb P Cr
2 1 1 1
Cartesian
0.0000 2.5319 0.0000
2.5319 0.0000 0.0000
0.0000 0.0000 2.6313
2.5319 2.5319 2.6313
0.0000 0.0000 0.0000
```

Summary:
As for the offset from the most stable computed form: 0.161 eV/atom. As for the energy: -17.53 eV per cell. The formation energy (no corrections) comes out at 944 meV/atom.

---

Entry from the Alexandria database: Ca2TaCl after structural relaxation (PBE).

The structure in POSCAR format:
```
Ca2TaCl
1.0
5.4166 0.0000 0.0000
2.7083 4.6909 0.0000
2.7083 1.5636 4.4226
Ca Cl Ta
2 1 1
Cartesian
0.0000 0.0000 0.0000
2.7083 1.5636 1.1057
5.4166 3.1273 2.2113
8.1249 4.6909 3.3170
```

Summary:
As for the offset from the most stable computed form: 1.072 eV/atom. As for the energy: -14.74 eV per cell. The formation energy (no corrections) comes out at 742 meV/atom.